DFT (PBE-GGA) results for a relaxed ScTiPd4 crystal.

Values from the calculation:
Formation energy   -0.69 eV/atom
ΔE to the lowest computed polymorph   33.4 meV/atom
Total moment   0.000 μB per atom

Unit cell a=4.7203 b=8.8469 c=4.7081 alpha=90.00 beta=97.15 gamma=90.00
Closest atoms and distances in Å follow each position.
Sites, in units of the cell vectors:
Sc 0.0000 0.0000 0.0000  10 Pd 2.74-3.03
Sc 0.5000 0.5000 0.0000  10 Pd 2.74-3.03
Ti 0.0000 0.5000 0.5000  10 Pd 2.74-3.00
Ti 0.5000 0.0000 0.5000  10 Pd 2.74-3.00
Pd 0.0000 0.1612 0.5000  2 Sc 2.75, 3 Ti 2.76-3.00, 5 Pd 2.84-2.85
Pd 0.0000 0.3423 0.0000  2 Ti 2.74, 3 Sc 2.74-3.03, 5 Pd 2.79-2.87
Pd 0.0000 0.6577 0.0000  2 Ti 2.74, 3 Sc 2.74-3.03, 5 Pd 2.79-2.87
Pd 0.0000 0.8388 0.5000  2 Sc 2.75, 3 Ti 2.76-3.00, 5 Pd 2.84-2.85
Pd 0.5000 0.1577 0.0000  2 Ti 2.74, 3 Sc 2.74-3.03, 5 Pd 2.79-2.87
Pd 0.5000 0.3388 0.5000  2 Sc 2.75, 3 Ti 2.76-3.00, 5 Pd 2.84-2.85
Pd 0.5000 0.6612 0.5000  2 Sc 2.75, 3 Ti 2.76-3.00, 5 Pd 2.84-2.85
Pd 0.5000 0.8423 0.0000  2 Ti 2.74, 3 Sc 2.74-3.03, 5 Pd 2.79-2.87